[1]
! NaAlCo3, optimized geometry, DFT PBE; values from VASP
&SYSTEM
  ibrav = 0, nat = 5, ntyp = 3
/
ATOMIC_SPECIES
Al 26.98 Al.upf
Co 58.93 Co.upf
Na 22.99 Na.upf
ATOMIC_POSITIONS crystal
Al 0.000 0.000 0.000
Co 0.500 0.000 0.000
Co 0.000 0.000 0.500
Na 0.500 0.500 0.500
Co 0.000 0.500 0.000
CELL_PARAMETERS angstrom
-1.976 -3.078 2.516
1.830 -3.198 -2.475
3.529 -0.065 2.692
! Uncorrected energy ... -4.335 eV per atom
! Relative energy among the computed polymorphs ... 0 meV per atom
! Space-group type ... Pm-3m
! Formation energy from the elements ... 0.94 eV/atom

***

[2]
! NaAlCo3, optimized geometry, DFT PBE; values from VASP
&SYSTEM
  ibrav = 0, nat = 5, ntyp = 3
/
ATOMIC_SPECIES
Al 26.98 Al.upf
Co 58.93 Co.upf
Na 22.99 Na.upf
ATOMIC_POSITIONS crystal
Al 0.500 0.500 0.500
Co 0.000 0.500 0.000
Co 0.500 0.000 0.000
Na 0.000 0.000 0.000
Co 0.000 0.000 0.500
CELL_PARAMETERS angstrom
4.302 0.000 0.000
0.000 4.302 0.000
0.000 0.000 4.302
! Uncorrected energy ... -3.550 eV per atom
! Relative energy among the computed polymorphs ... 785 meV per atom
! Space-group type ... Pm-3m
! Formation energy from the elements ... 1.73 eV/atom

***

> Among the records above, which one has the lowest relative energy among the computed polymorphs?

number 1